[1]
Mg8ScAu6 after structural relaxation. Source: Alexandria, functional PBE-GGA.

Computed properties:
Magnetization   0.00 Bohr magnetons per cell
Uncorrected energy   -0.1148 hartree per atom

Lattice parameters (Å, degrees): 7.294 7.294 7.294 66.15 66.15 66.15
Atoms (fractional coordinates):
Au  0.945  0.610  0.282
Mg  0.116  0.785  0.449
Au  0.282  0.945  0.610
Mg  0.215  0.551  0.884
Au  0.390  0.718  0.055
Mg  0.449  0.116  0.785
Mg  0.551  0.884  0.215
Sc  0.000  0.000  0.000
Mg  0.785  0.449  0.116
Au  0.055  0.390  0.718
Mg  0.667  0.667  0.667
Au  0.718  0.055  0.390
Mg  0.884  0.215  0.551
Mg  0.333  0.333  0.333
Au  0.610  0.282  0.945

***

[2]
MgSc2Au after structural relaxation. Source: Alexandria, functional PBE-GGA.

Computed properties:
Magnetization   0.00 Bohr magnetons per cell
Uncorrected energy   -0.1608 hartree per atom

Lattice parameters (Å, degrees): 10.616 10.616 10.616 17.85 17.85 17.85
Atoms (fractional coordinates):
Au  0.500  0.500  0.500
Mg  0.000  0.000  0.000
Sc  0.099  0.099  0.099
Sc  0.901  0.901  0.901

***

[3]
Mg5Sc6Au after structural relaxation. Source: Alexandria, functional PBE-GGA.

Computed properties:
Magnetization   0.00 Bohr magnetons per cell
Uncorrected energy   -0.1570 hartree per atom

Lattice parameters (Å, degrees): 5.034 7.033 7.978 90.00 71.56 90.00
Atoms (fractional coordinates):
Sc  0.840  0.244  0.321
Mg  0.674  0.000  0.652
Mg  0.669  0.500  0.662
Sc  0.500  0.760  0.000
Au  0.000  0.000  0.000
Sc  0.840  0.756  0.321
Mg  0.331  0.500  0.338
Mg  0.326  0.000  0.348
Mg  0.000  0.500  0.000
Sc  0.160  0.244  0.679
Sc  0.500  0.240  0.000
Sc  0.160  0.756  0.679

***

[4]
MgSc2Au after structural relaxation. Source: Alexandria, functional PBE-GGA.

Computed properties:
Magnetization   0.00 Bohr magnetons per cell
Uncorrected energy   -0.1690 hartree per atom

Lattice parameters (Å, degrees): 3.446 3.446 9.481 78.94 78.94 58.56
Atoms (fractional coordinates):
Mg  0.493  0.493  0.500
Sc  0.266  0.266  0.219
Sc  0.072  0.072  0.781
Au  0.669  0.669  0.000

***

[5]
MgScAu3 after structural relaxation. Source: Alexandria, functional PBE-GGA.

Computed properties:
Magnetization   0.00 Bohr magnetons per cell
Offset from the most stable computed form   0.0 meV/atom
Uncorrected energy   -0.1274 hartree per atom

Lattice parameters (Å, degrees): 4.834 4.834 4.834 90.00 90.00 90.00
Atoms (fractional coordinates):
Sc  0.500  0.500  0.500
Mg  0.000  0.000  0.000
Au  0.500  0.000  0.000
Au  0.000  0.000  0.500
Au  0.000  0.500  0.000

***

[6]
MgSc2Au after structural relaxation. Source: Alexandria, functional PBE-GGA.

Computed properties:
Magnetization   0.93 Bohr magnetons per cell
Uncorrected energy   -0.1711 hartree per atom

Lattice parameters (Å, degrees): 4.846 4.846 4.846 60.00 60.00 60.00
Site moments in Bohr magnetons follow the coordinates.
Atoms (fractional coordinates):
Mg  0.750  0.750  0.750  0.00
Sc  0.000  0.000  0.000  0.45
Sc  0.250  0.250  0.250  0.24
Au  0.500  0.500  0.500  0.01

***

[7]
Mg2ScAu after structural relaxation. Source: Alexandria, functional PBE-GGA.

Computed properties:
Magnetization   0.00 Bohr magnetons per cell
Uncorrected energy   -0.1231 hartree per atom

Lattice parameters (Å, degrees): 8.009 8.009 6.341 50.83 50.83 90.00
Atoms (fractional coordinates):
Mg  0.075  0.625  0.250
Sc  0.250  0.750  0.500
Mg  0.675  0.125  0.250
Au  0.750  0.250  0.500
Au  0.000  0.000  0.000
Mg  0.875  0.925  0.750
Mg  0.375  0.325  0.750
Sc  0.500  0.500  0.000

***

[8]
MgScAu2 after structural relaxation. Source: Alexandria, functional PBE-GGA.

Computed properties:
Magnetization   0.00 Bohr magnetons per cell
Uncorrected energy   -0.1528 hartree per atom

Lattice parameters (Å, degrees): 3.671 3.671 7.588 76.00 76.00 60.00
Atoms (fractional coordinates):
Au  0.084  0.084  0.747
Mg  0.500  0.500  0.501
Au  0.249  0.249  0.253
Sc  0.667  0.667  0.999